(1)
A relaxed CsSmI3 crystal. Source: the Alexandria database, functional PBE.

Values from the calculation:
E_form (uncorrected): -1.384 eV per atom

Cell lengths 6.9867, 8.8196, 8.8197 Å; angles 120.00, 89.99, 90.00 degrees
Each line ends with the local moment (μB).
Fractional coordinates of all 10 atoms:
I: 0.7500 0.1730 0.8270  0.00
I: 0.2500 0.3461 0.1730  0.00
I: 0.7500 0.1730 0.3461  0.00
Cs: 0.7499 0.6668 0.3334  0.00
Sm: 0.0000 0.0000 0.0000  0.09
I: 0.7500 0.6539 0.8270  0.00
I: 0.2500 0.8270 0.1730  0.00
Cs: 0.2501 0.3332 0.6666  0.00
Sm: 0.5000 0.0000 0.0000  0.09
I: 0.2500 0.8270 0.6539  0.00

(2)
A relaxed Cs2SmI4 crystal. Source: the Alexandria database, functional PBE.

Values from the calculation:
E_form (uncorrected): -1.346 eV per atom

Cell lengths 4.4931, 9.6695, 16.3832 Å; angles 90.00, 90.00, 90.00 degrees
Each line ends with the local moment (μB).
Fractional coordinates of all 14 atoms:
Sm: 0.0000 0.0000 0.5000  0.12
Cs: 0.5000 0.4187 0.6655  0.00
Cs: 0.5000 0.9187 0.8345  0.00
I: 0.0000 0.3957 0.1825  0.00
Cs: 0.5000 0.0813 0.1655  0.00
I: 0.5000 0.7738 0.5450  0.00
I: 0.0000 0.1043 0.6825  0.00
I: 0.5000 0.2262 0.4550  0.00
I: 0.5000 0.7262 0.0450  0.00
Cs: 0.5000 0.5813 0.3345  0.00
I: 0.0000 0.8957 0.3175  0.00
Sm: 0.0000 0.5000 0.0000  0.12
I: 0.5000 0.2738 0.9550  0.00
I: 0.0000 0.6043 0.8175  0.00

(3)
A relaxed Cs3SmTl2I9 crystal. Source: the Alexandria database, functional PBE.

Values from the calculation:
E_form (uncorrected): -1.144 eV per atom

Cell lengths 9.0613, 9.0613, 11.0867 Å; angles 90.00, 90.00, 120.00 degrees
Fractional coordinates of all 15 atoms:
Tl: 0.6667 0.3333 0.8455
I: 0.6766 0.8383 0.3421
I: 0.0000 0.5000 0.0000
I: 0.5000 0.0000 0.0000
Tl: 0.3333 0.6667 0.1545
I: 0.8383 0.1617 0.6579
I: 0.3234 0.1617 0.6579
Cs: 0.6667 0.3333 0.3306
I: 0.8383 0.6766 0.6579
I: 0.1617 0.8383 0.3421
Cs: 0.0000 0.0000 0.0000
Sm: 0.0000 0.0000 0.5000
I: 0.1617 0.3234 0.3421
I: 0.5000 0.5000 0.0000
Cs: 0.3333 0.6667 0.6694

(4)
A relaxed CsSmTl2I6 crystal. Source: the Alexandria database, functional PBE.

Values from the calculation:
E_form (uncorrected): -1.142 eV per atom

Cell lengths 8.8086, 8.8097, 9.3411 Å; angles 61.85, 61.85, 59.96 degrees
Fractional coordinates of all 10 atoms:
Tl: 0.0045 0.0045 0.9868
I: 0.1560 0.3723 0.7670
Tl: 0.5207 0.5205 0.4382
I: 0.2416 0.9674 0.2346
I: 0.7051 0.1557 0.7670
Cs: 0.8106 0.8109 0.5675
I: 0.3721 0.7049 0.7667
Sm: 0.3272 0.3271 0.0185
I: 0.5563 0.2418 0.2344
I: 0.9674 0.5566 0.2346

(5)
A relaxed CsSmVI6 crystal. Source: the Alexandria database, functional PBE.

Values from the calculation:
E_form (uncorrected): -1.109 eV per atom

Cell lengths 7.7049, 7.7049, 8.7963 Å; angles 90.00, 90.00, 60.00 degrees
Each line ends with the local moment (μB).
Fractional coordinates of all 9 atoms:
I: 0.6216 0.0226 0.3061  -0.01
I: 0.3557 0.6216 0.3061  -0.01
I: 0.3557 0.0226 0.6939  -0.01
I: 0.6216 0.3558 0.6939  -0.01
I: 0.0226 0.3558 0.3061  -0.01
V: 0.3333 0.3333 0.4999  2.60
I: 0.0226 0.6216 0.6939  -0.01
Cs: 0.0000 0.0000 0.0000  0.00
Sm: 0.6666 0.6667 0.5000  0.02

(6)
A relaxed CsSmZnI6 crystal. Source: the Alexandria database, functional PBE.

Values from the calculation:
E_form (uncorrected): -1.112 eV per atom

Cell lengths 7.7722, 7.7721, 8.7422 Å; angles 90.01, 89.98, 59.98 degrees
Fractional coordinates of all 9 atoms:
I: 0.6196 0.0194 0.3034
I: 0.0194 0.6196 0.6966
Zn: 0.3333 0.3334 0.5000
Sm: 0.6666 0.6666 0.5000
I: 0.3610 0.6196 0.3033
I: 0.0195 0.3609 0.3032
Cs: 0.9999 0.0000 0.0000
I: 0.6195 0.3610 0.6967
I: 0.3609 0.0196 0.6968

(7)
A relaxed Cs2Sn3I10 crystal. Source: the Alexandria database, functional PBE.

Values from the calculation:
E_form (uncorrected): -0.716 eV per atom

Cell lengths 8.7636, 12.0602, 15.3531 Å; angles 112.37, 106.58, 90.00 degrees
Fractional coordinates of all 30 atoms:
Cs: 0.7447 0.2872 0.4894
Cs: 0.2553 0.7128 0.5106
I: 0.1095 0.5180 0.7236
Sn: 0.8217 0.9611 0.6434
I: 0.2437 0.5000 0.0000
I: 0.1472 0.9367 0.7681
I: 0.0000 0.0000 0.5000
Cs: 0.3719 0.2360 0.7437
I: 0.3859 0.4820 0.2764
I: 0.5000 0.0000 0.5000
Sn: 0.2531 0.0000 0.0000
I: 0.5144 0.1882 0.0288
I: 0.8528 0.0633 0.2319
I: 0.6141 0.5180 0.7236
I: 0.8905 0.4820 0.2764
I: 0.0205 0.2205 0.0410
Sn: 0.0750 0.4878 0.1499
I: 0.1205 0.7544 0.2410
Sn: 0.7469 0.0000 0.0000
Sn: 0.9250 0.5122 0.8501
I: 0.4856 0.8118 0.9712
I: 0.8795 0.2456 0.7590
I: 0.2404 0.2965 0.4809
I: 0.7596 0.7035 0.5191
Sn: 0.1783 0.0389 0.3566
I: 0.9795 0.7795 0.9590
I: 0.7563 0.5000 0.0000
Cs: 0.6281 0.7640 0.2563
I: 0.3791 0.0633 0.2319
I: 0.6209 0.9367 0.7681

(8)
A relaxed CsSnI3 crystal. Source: the Alexandria database, functional PBE.

Values from the calculation:
E_form (uncorrected): -0.943 eV per atom

Cell lengths 8.7521, 8.7521, 6.3549 Å; angles 90.00, 90.00, 90.00 degrees
Fractional coordinates of all 10 atoms:
I: 0.3019 0.1981 0.5000
Cs: 0.0000 0.5000 0.0000
Sn: 0.0000 0.0000 0.5000
I: 0.8019 0.3019 0.5000
I: 0.6981 0.8019 0.5000
I: 0.5000 0.5000 0.0000
I: 0.1981 0.6981 0.5000
Cs: 0.5000 0.0000 0.0000
Sn: 0.5000 0.5000 0.5000
I: 0.0000 0.0000 0.0000

(9)
A relaxed CsSn3I crystal. Source: the Alexandria database, functional PBE.

Values from the calculation:
E_form (uncorrected): 1.252 eV per atom

Cell lengths 6.4756, 6.4756, 6.4756 Å; angles 90.00, 90.00, 90.00 degrees
Each line ends with the local moment (μB).
Fractional coordinates of all 5 atoms:
I: 0.5000 0.5000 0.5000  0.18
Sn: 0.0000 0.5000 0.0000  0.38
Sn: 0.0000 0.0000 0.5000  0.21
Sn: 0.5000 0.0000 0.0000  0.33
Cs: 0.0000 0.0000 0.0000  0.11

(10)
A relaxed Cs3Sn2I8 crystal. Source: the Alexandria database, functional PBE.

Values from the calculation:
E_form (uncorrected): -0.903 eV per atom

Cell lengths 8.9451, 8.9451, 12.0230 Å; angles 68.16, 68.16, 60.00 degrees
Fractional coordinates of all 13 atoms:
I: 0.7478 0.1934 0.3110
I: 0.2522 0.2522 0.6890
I: 0.6780 0.6780 0.9661
Cs: 0.0000 0.0000 0.0000
Cs: 0.2056 0.2056 0.3832
I: 0.1934 0.7478 0.3110
I: 0.3220 0.3220 0.0339
Sn: 0.5884 0.5884 0.2349
I: 0.7478 0.7478 0.3110
Cs: 0.7944 0.7944 0.6168
Sn: 0.4116 0.4116 0.7651
I: 0.8066 0.2522 0.6890
I: 0.2522 0.8066 0.6890

(11)
A relaxed Cs2SnI7 crystal. Source: the Alexandria database, functional PBE.

Values from the calculation:
E_form (uncorrected): -0.744 eV per atom

Cell lengths 9.0560, 9.0560, 8.9213 Å; angles 59.50, 59.50, 90.00 degrees
Fractional coordinates of all 10 atoms:
Cs: 0.7500 0.2500 0.5000
I: 0.2697 0.2697 0.0000
I: 0.7303 0.7303 0.0000
Sn: 0.5000 0.5000 0.0000
Cs: 0.2500 0.7500 0.5000
I: 0.2620 0.2620 0.4761
I: 0.7380 0.7380 0.5239
I: 0.0000 0.0000 0.0000
I: 0.2697 0.7303 0.0000
I: 0.7303 0.2697 0.0000

(12)
A relaxed Cs3Sn5I12 crystal. Source: the Alexandria database, functional PBE.

Values from the calculation:
E_form (uncorrected): -0.720 eV per atom

Cell lengths 17.8255, 17.8255, 17.8255 Å; angles 109.47, 109.47, 109.47 degrees
Fractional coordinates of all 80 atoms:
Sn: 0.6250 0.7500 0.8750
I: 0.9787 0.5924 0.1754
Sn: 0.5000 0.5000 0.5000
Sn: 0.5000 0.5000 0.0000
I: 0.4076 0.3863 0.5830
I: 0.3246 0.5213 0.4076
Cs: 0.7500 0.8750 0.6250
Cs: 0.6250 0.3750 0.7500
I: 0.3863 0.9787 0.8033
Cs: 0.6250 0.2500 0.3750
I: 0.5924 0.6137 0.4170
Cs: 0.2500 0.1250 0.3750
Cs: 0.1250 0.2500 0.8750
Sn: 0.0000 0.5000 0.5000
I: 0.6967 0.5830 0.1754
Sn: 0.8750 0.2500 0.6250
I: 0.1754 0.0830 0.6967
Cs: 0.2500 0.6250 0.8750
Sn: 0.0000 0.5000 0.0000
Sn: 0.6250 0.8750 0.2500
I: 0.8863 0.3033 0.4787
I: 0.4787 0.6754 0.0924
I: 0.0213 0.6137 0.6967
Sn: 0.7500 0.1250 0.8750
I: 0.1967 0.5213 0.6137
I: 0.6754 0.1967 0.5830
I: 0.3033 0.4170 0.8246
Sn: 0.5000 0.0000 0.0000
I: 0.5213 0.1967 0.1137
Sn: 0.7500 0.6250 0.3750
Sn: 0.3750 0.2500 0.1250
I: 0.4787 0.8033 0.8863
I: 0.3863 0.4076 0.0830
I: 0.6754 0.4787 0.5924
I: 0.0213 0.4076 0.8246
I: 0.5213 0.3246 0.9076
I: 0.6967 0.1137 0.0213
I: 0.4170 0.1137 0.5924
Sn: 0.1250 0.3750 0.2500
I: 0.4076 0.0213 0.3246
Cs: 0.7500 0.3750 0.1250
I: 0.5924 0.9787 0.6754
Cs: 0.1250 0.8750 0.7500
I: 0.9076 0.8246 0.5213
I: 0.0830 0.1754 0.1967
Sn: 0.8750 0.6250 0.7500
I: 0.0830 0.9076 0.3863
I: 0.6137 0.0213 0.1967
Sn: 0.2500 0.8750 0.1250
Sn: 0.3750 0.1250 0.7500
I: 0.1137 0.6967 0.5213
I: 0.8033 0.3246 0.9170
I: 0.8246 0.9076 0.0213
Cs: 0.8750 0.7500 0.1250
I: 0.8863 0.5830 0.9076
I: 0.1754 0.0924 0.9787
I: 0.0924 0.9170 0.1137
I: 0.0924 0.1754 0.4787
Cs: 0.3750 0.6250 0.2500
Sn: 0.0000 0.0000 0.0000
Sn: 0.5000 0.0000 0.5000
Sn: 0.0000 0.0000 0.5000
I: 0.3246 0.8033 0.4170
I: 0.1967 0.6754 0.0830
I: 0.8246 0.9170 0.3033
Sn: 0.1250 0.7500 0.3750
I: 0.9787 0.3863 0.3033
I: 0.9170 0.0924 0.6137
I: 0.5830 0.6967 0.6754
I: 0.3033 0.8863 0.9787
I: 0.4170 0.3033 0.3246
I: 0.6137 0.5924 0.9170
I: 0.9076 0.0830 0.8863
I: 0.5830 0.8863 0.4076
Sn: 0.2500 0.3750 0.6250
I: 0.9170 0.8246 0.8033
Cs: 0.3750 0.7500 0.6250
Cs: 0.8750 0.1250 0.2500
I: 0.8033 0.4787 0.3863
I: 0.1137 0.4170 0.0924

> Which value of E_form (uncorrected) does entry 5 give?

-1.109 eV per atom

> Which value of E_form (uncorrected) does entry 5 give?

-1.109 eV per atom

> Among the records above, which one has the highest E_form (uncorrected)?

CsSn3I